1.
3
Lattice="0.000 3.749 3.749 3.749 0.000 3.749 3.749 3.749 0.000" Properties=species:S:1:pos:R:3 comment="KReCl (PBE, optimized geometry)" formation_energy_uncorrected_ev_per_atom=1.36 polymorph_energy_kj_per_mol_atoms=53.1 n_ef_per_ev_fu=2.40 pbc="T T T"
K 0.000 0.000 0.000
Re 3.749 3.749 3.749
Cl 5.624 5.624 5.624

***

2.
14
Lattice="3.720 2.148 6.397 -3.720 2.148 6.397 0.000 -4.295 6.397" Properties=species:S:1:pos:R:3 comment="KTl2Hg3F8 (PBE, optimized geometry)" formation_energy_uncorrected_ev_per_atom=-1.62 n_ef_per_ev_fu=3.51 pbc="T T T"
K 0.000 0.000 0.000
Tl 0.000 0.000 8.511
Tl 0.000 0.000 15.464
Hg 0.000 -2.194 11.602
Hg -1.900 1.097 11.602
Hg 1.900 1.097 11.602
F -2.001 -1.155 10.714
F 0.000 0.000 4.000
F 0.000 -1.755 6.707
F -1.520 0.877 6.707
F 1.520 0.877 6.707
F 0.000 0.000 12.658
F 2.001 -1.155 10.714
F 0.000 2.310 10.714

***

3.
9
Lattice="3.504 -6.925 0.000 3.504 6.925 0.000 0.000 0.000 3.172" Properties=species:S:1:pos:R:3 comment="Hf2CuPd6 (PBE, optimized geometry)" formation_enthalpy_0k_mev_per_atom=-433 n_ef_per_ev_fu=4.27 pbc="T T T"
Hf 3.504 4.271 0.000
Hf 3.504 -4.271 0.000
Cu 3.504 0.000 1.586
Pd 2.130 2.167 1.586
Pd 1.350 0.000 0.000
Pd 2.130 -2.167 1.586
Pd 4.878 2.167 1.586
Pd 5.658 0.000 0.000
Pd 4.878 -2.167 1.586

***

Copy entry 3 word for word.
9
Lattice="3.504 -6.925 0.000 3.504 6.925 0.000 0.000 0.000 3.172" Properties=species:S:1:pos:R:3 comment="Hf2CuPd6 (PBE, optimized geometry)" formation_enthalpy_0k_mev_per_atom=-433 n_ef_per_ev_fu=4.27 pbc="T T T"
Hf 3.504 4.271 0.000
Hf 3.504 -4.271 0.000
Cu 3.504 0.000 1.586
Pd 2.130 2.167 1.586
Pd 1.350 0.000 0.000
Pd 2.130 -2.167 1.586
Pd 4.878 2.167 1.586
Pd 5.658 0.000 0.000
Pd 4.878 -2.167 1.586